The following is a PBE-GGA calculation of a geometry-optimized BeOs2Pt structure, from the Alexandria database.

Calculated values
ΔE_f, eV/atom: 0.160

Lattice parameters (Å, degrees): 2.7092 2.7092 25.4640 90.00 90.00 120.00
Space group R-3m (No. 166, hexagonal axes)
Symmetry-distinct sites (fractional):
Be (0.0000, 0.0000, 0.0000) (multiplicity 3)
Os (0.0000, 0.0000, 0.2578) (multiplicity 6)
Pt (0.0000, 0.0000, 0.5000) (multiplicity 3)